# NiSb2Os (GGA-PBEsol, optimized geometry)
data_NiSb2Os
_symmetry_space_group_name_H-M 'I -4 m 2'
_symmetry_Int_Tables_number 119
_symmetry_space_group_name_Hall 'I -4 -2'
_cell_length_a 3.874
_cell_length_b 3.874
_cell_length_c 9.156
_cell_angle_alpha 90.00
_cell_angle_beta 90.00
_cell_angle_gamma 90.00
loop_
_atom_site_label
_atom_site_type_symbol
_atom_site_fract_x
_atom_site_fract_y
_atom_site_fract_z
Ni1 Ni 0.000 0.000 0.000
Sb1 Sb 0.000 0.000 0.500
Sb2 Sb 0.000 0.500 0.750
Os1 Os 0.000 0.500 0.250
# V in Å³ per cell: 137.4
# Energy above the most stable polymorph in this dataset in kJ/mol of formula units: 128.9
# M_tot in μB per cell: 0.0
# Total DFT energy (no corrections) in Ry/atom: -0.4654
# Formation energy (no corrections) in kJ/mol of atoms: 52


# LaTa2Zn (GGA-PBEsol, optimized geometry)
data_LaTa2Zn
_symmetry_space_group_name_H-M 'R 3 m'
_symmetry_Int_Tables_number 160
_symmetry_space_group_name_Hall 'R 3 -2"'
_cell_length_a 2.9781
_cell_length_b 2.9781
_cell_length_c 31.0089
_cell_angle_alpha 90.00
_cell_angle_beta 90.00
_cell_angle_gamma 120.00
loop_
_atom_site_label
_atom_site_type_symbol
_atom_site_fract_x
_atom_site_fract_y
_atom_site_fract_z
La1 La 0.0000 0.0000 0.0000
Ta1 Ta 0.0000 0.0000 0.2394
Ta2 Ta 0.0000 0.0000 0.4940
Zn1 Zn 0.0000 0.0000 0.7561
# V in Å³ per cell: 238.2
# M_tot in μB per cell: 0.0
# ΔE_f in eV per atom: 0.3663
# Total DFT energy (no corrections) in Ry/atom: -0.5616